# 1
DFT (PBE-GGA) results for a relaxed structure of TaSiBr2.

Lattice parameters (Å, degrees): 8.506 8.506 3.755 76.49 76.49 23.32
Atoms (fractional coordinates):
1 Br 0.108 0.108 0.900
2 Si 0.250 0.250 0.250
3 Br 0.392 0.392 0.600
4 Ta 0.750 0.750 0.750

Output
Total DFT energy (no corrections) (eV per atom): -5.29
Total moment (μB per formula unit): 0.000
Polymorph energy (0 for the lowest one) (meV/atom): 170.0
E_form (uncorrected) (kJ/mol of formula units): -51
Calculated density (g/cm3): 5.863

***

# 2
DFT (PBE-GGA) results for a relaxed structure of TaSiBr3.

Lattice parameters (Å, degrees): 5.232 5.232 5.232 90.00 90.00 90.00
Site moments in Bohr magnetons follow the coordinates.
Atoms (fractional coordinates):
1 Si 0.000 0.000 0.000  0.00
2 Ta 0.500 0.500 0.500  2.45
3 Br 0.500 0.000 0.000  0.01
4 Br 0.000 0.000 0.500  0.02
5 Br 0.000 0.500 0.000  0.02

Output
Total DFT energy (no corrections) (eV per atom): -3.49
Total moment (μB per formula unit): 3.988
Polymorph energy (0 for the lowest one) (meV/atom): 451.2
E_form (uncorrected) (kJ/mol of formula units): 465
Calculated density (g/cm3): 5.203

***

# 3
DFT (PBE-GGA) results for a relaxed structure of TaSiBr2.

Lattice parameters (Å, degrees): 5.090 5.090 5.090 128.65 128.65 75.57
Atoms (fractional coordinates):
1 Br 0.250 0.750 0.500
2 Ta 0.750 0.250 0.500
3 Br 0.000 0.000 0.000
4 Si 0.500 0.500 0.000

Output
Total DFT energy (no corrections) (eV per atom): -4.32
Total moment (μB per formula unit): 0.000
Polymorph energy (0 for the lowest one) (meV/atom): 1138.9
E_form (uncorrected) (kJ/mol of formula units): 323
Calculated density (g/cm3): 7.828

***

# 4
DFT (PBE-GGA) results for a relaxed structure of TaSiBr2.

Lattice parameters (Å, degrees): 4.461 4.314 4.314 90.00 90.00 90.00
Site moments in Bohr magnetons follow the coordinates.
Atoms (fractional coordinates):
1 Si 0.500 0.500 0.000  -0.03
2 Ta 0.500 0.000 0.500  0.84
3 Br 0.000 0.500 0.500  -0.03
4 Br 0.000 0.000 0.000  -0.03

Output
Total DFT energy (no corrections) (eV per atom): -4.18
Total moment (μB per formula unit): 1.116
Polymorph energy (0 for the lowest one) (meV/atom): 1278.1
E_form (uncorrected) (kJ/mol of formula units): 377
Calculated density (g/cm3): 7.377

***

# 5
DFT (PBE-GGA) results for a relaxed structure of TaSiBr2.

Lattice parameters (Å, degrees): 9.642 9.642 9.642 19.69 19.69 19.69
Atoms (fractional coordinates):
1 Br 0.025 0.025 0.025
2 Br 0.225 0.225 0.225
3 Ta 0.759 0.759 0.759
4 Si 0.491 0.491 0.491

Output
Total DFT energy (no corrections) (eV per atom): -5.26
Total moment (μB per formula unit): 0.000
Polymorph energy (0 for the lowest one) (meV/atom): 201.0
E_form (uncorrected) (kJ/mol of formula units): -39
Calculated density (g/cm3): 6.881

***

# 6
DFT (PBE-GGA) results for a relaxed structure of Tb2SiBr3.

Lattice parameters (Å, degrees): 4.061 9.661 10.193 79.88 78.51 77.87
Atoms (fractional coordinates):
1 Tb 0.612 0.217 0.559
2 Br 0.325 0.326 0.025
3 Tb 0.874 0.436 0.817
4 Tb 0.388 0.783 0.441
5 Br 0.675 0.674 0.975
6 Si 0.559 0.500 0.383
7 Br 0.243 0.129 0.384
8 Br 0.045 0.139 0.771
9 Si 0.441 0.500 0.617
10 Br 0.757 0.871 0.616
11 Tb 0.126 0.564 0.183
12 Br 0.955 0.861 0.229

Output
Total DFT energy (no corrections) (eV per atom): -4.62
Total moment (μB per formula unit): 0.000
E_form (uncorrected) (kJ/mol of formula units): -772
Calculated density (g/cm3): 5.126

***

# 7
DFT (PBE-GGA) results for a relaxed structure of Tb3Si2Br2.

Lattice parameters (Å, degrees): 4.047 7.153 7.576 101.09 89.98 106.35
Atoms (fractional coordinates):
1 Tb 0.757 0.514 0.227
2 Si 0.621 0.242 0.886
3 Tb 0.243 0.486 0.773
4 Tb 0.000 0.000 0.000
5 Br 0.865 0.731 0.623
6 Si 0.379 0.758 0.114
7 Br 0.135 0.269 0.377

Output
Total DFT energy (no corrections) (eV per atom): -4.93
Total moment (μB per formula unit): 0.000
E_form (uncorrected) (kJ/mol of formula units): -617
Calculated density (g/cm3): 5.579

***

# 8
DFT (PBE-GGA) results for a relaxed structure of TbSiBr.

Lattice parameters (Å, degrees): 4.151 3.774 11.479 90.00 100.42 90.00
Atoms (fractional coordinates):
1 Br 0.171 0.250 0.343
2 Tb 0.078 0.750 0.155
3 Tb 0.922 0.250 0.845
4 Br 0.829 0.750 0.657
5 Si 0.532 0.250 0.064
6 Si 0.468 0.750 0.936

Output
Total DFT energy (no corrections) (eV per atom): -5.03
Total moment (μB per formula unit): 0.000
E_form (uncorrected) (kJ/mol of formula units): -325
Calculated density (g/cm3): 5.013

***

# 9
DFT (PBE-GGA) results for a relaxed structure of Tb4Si2Br3.

Lattice parameters (Å, degrees): 4.145 4.144 17.701 89.53 90.00 120.01
Atoms (fractional coordinates):
1 Si 0.329 0.658 0.200
2 Tb 0.664 0.329 0.117
3 Si 0.671 0.342 0.800
4 Tb 0.336 0.671 0.883
5 Br 0.658 0.315 0.390
6 Br 0.342 0.685 0.610
7 Tb 0.993 0.987 0.290
8 Br 0.000 0.000 0.000
9 Tb 0.007 0.013 0.710

Output
Total DFT energy (no corrections) (eV per atom): -5.05
Total moment (μB per formula unit): 0.000
E_form (uncorrected) (kJ/mol of formula units): -1070
Calculated density (g/cm3): 5.876

***

# 10
DFT (PBE-GGA) results for a relaxed structure of Tb7SiBr12.

Lattice parameters (Å, degrees): 9.184 9.184 9.184 107.76 107.76 107.76
Atoms (fractional coordinates):
1 Br 0.469 0.160 0.389
2 Tb 0.321 0.107 0.032
3 Br 0.923 0.313 0.772
4 Br 0.077 0.687 0.228
5 Br 0.389 0.469 0.160
6 Br 0.160 0.389 0.469
7 Br 0.531 0.840 0.611
8 Si 0.000 0.000 0.000
9 Tb 0.107 0.032 0.321
10 Tb 0.679 0.893 0.968
11 Br 0.228 0.077 0.687
12 Br 0.611 0.531 0.840
13 Tb 0.500 0.500 0.500
14 Br 0.772 0.923 0.313
15 Tb 0.032 0.321 0.107
16 Br 0.313 0.772 0.923
17 Br 0.840 0.611 0.531
18 Tb 0.968 0.679 0.893
19 Tb 0.893 0.968 0.679
20 Br 0.687 0.228 0.077

Output
Total DFT energy (no corrections) (eV per atom): -4.52
Total moment (μB per formula unit): 0.000
E_form (uncorrected) (kJ/mol of formula units): -3126
Calculated density (g/cm3): 5.523

***

# 11
DFT (PBE-GGA) results for a relaxed structure of Tb8Si3Te4Br.

Lattice parameters (Å, degrees): 8.481 8.627 8.480 119.44 120.00 90.00
Atoms (fractional coordinates):
1 Te 0.500 0.000 0.500
2 Tb 0.260 0.281 0.521
3 Si 0.500 0.500 0.500
4 Te 0.500 0.000 0.000
5 Br 0.000 0.500 0.000
6 Te 0.000 0.000 0.000
7 Tb 0.250 0.722 0.972
8 Tb 0.750 0.278 0.028
9 Te 0.000 0.000 0.500
10 Tb 0.740 0.719 0.479
11 Si 0.500 0.500 0.000
12 Tb 0.750 0.278 0.501
13 Tb 0.277 0.278 0.028
14 Tb 0.250 0.722 0.499
15 Si 0.000 0.500 0.500
16 Tb 0.723 0.722 0.972

Output
Total DFT energy (no corrections) (eV per atom): -5.40
Total moment (μB per formula unit): 0.000
E_form (uncorrected) (kJ/mol of formula units): -1812
Calculated density (g/cm3): 7.305

***

# 12
DFT (PBE-GGA) results for a relaxed structure of Tb4SiTe2Br.

Lattice parameters (Å, degrees): 4.237 7.473 7.400 71.08 90.00 90.00
Atoms (fractional coordinates):
1 Tb 0.000 0.270 0.269
2 Tb 0.500 0.282 0.720
3 Tb 0.000 0.730 0.731
4 Te 0.000 0.000 0.000
5 Tb 0.500 0.718 0.280
6 Te 0.500 0.000 0.500
7 Br 0.500 0.500 0.000
8 Si 0.000 0.500 0.500

Output
Total DFT energy (no corrections) (eV per atom): -5.16
Total moment (μB per formula unit): 0.000
E_form (uncorrected) (kJ/mol of formula units): -907
Calculated density (g/cm3): 7.484